Compound: Ba2ZrNi
Source: Alexandria via LeMat-Bulk
Functional: GGA-PBEsol
Structure: optimized geometry

abc: 6.327 6.327 6.327
angles: 138.15 138.15 60.67
Positions (direct):
Ba1 0.000 0.000 0.000
Ba2 0.750 0.250 0.500
Zr1 0.250 0.750 0.500
Ni1 0.500 0.500 0.000

Calculated volume = 111.50 Å³/f.u.
Polymorph energy (0 for the lowest one) = 492 meV per atom
Crystal system = tetragonal
Uncorrected energy = -4.07 eV/atom
DFT formation energy = 0.813 eV per atom
DOS(E_F) = 5.47 states/eV per cell

=====

Compound: Ba2ZrNi
Source: Alexandria via LeMat-Bulk
Functional: GGA-PBEsol
Structure: optimized geometry

abc: 6.819 6.819 6.819
angles: 149.00 129.76 60.21
Positions (direct):
Ba1 0.000 0.000 0.000
Ba2 0.696 0.196 0.500
Zr1 0.377 0.377 0.000
Ni1 0.240 0.740 0.500

Calculated volume = 124.47 Å³/f.u.
Polymorph energy (0 for the lowest one) = 0 meV per atom
Crystal system = orthorhombic
Uncorrected energy = -4.57 eV/atom
DFT formation energy = 0.321 eV per atom
DOS(E_F) = 6.11 states/eV per cell

=====

Compound: BaNpO4
Source: Alexandria via LeMat-Bulk
Functional: GGA-PBEsol
Structure: optimized geometry

abc: 5.750 8.056 8.135
angles: 90.00 90.00 90.00
Positions (direct):
Ba1 0.020 0.194 0.250
Ba2 0.020 0.306 0.750
Ba3 0.980 0.694 0.250
Ba4 0.980 0.806 0.750
Np1 0.500 0.000 0.000
Np2 0.500 0.000 0.500
Np3 0.500 0.500 0.000
Np4 0.500 0.500 0.500
O1 0.202 0.575 0.567
O2 0.202 0.575 0.933
O3 0.202 0.925 0.067
O4 0.202 0.925 0.433
O5 0.355 0.250 0.000
O6 0.355 0.250 0.500
O7 0.384 0.525 0.250
O8 0.384 0.975 0.750
O9 0.616 0.025 0.250
O10 0.616 0.475 0.750
O11 0.645 0.750 0.000
O12 0.645 0.750 0.500
O13 0.798 0.075 0.567
O14 0.798 0.075 0.933
O15 0.798 0.425 0.067
O16 0.798 0.425 0.433

Calculated volume = 94.20 Å³/f.u.
Crystal system = orthorhombic
Uncorrected energy = -9.12 eV/atom
Formation energy from raw total energies = -1712.3 kJ/mol of formula units
DOS(E_F) = 9.67 states/eV per cell

=====

Compound: BaNpP2O8
Source: Alexandria via LeMat-Bulk
Functional: GGA-PBEsol
Structure: optimized geometry

abc: 6.845 6.845 9.427
angles: 101.31 101.31 46.32
Positions (direct):
Ba1 0.000 0.500 0.000
Ba2 0.500 0.000 0.500
Np1 0.184 0.816 0.750
Np2 0.816 0.184 0.250
P1 0.174 0.652 0.390
P2 0.348 0.826 0.110
P3 0.652 0.174 0.890
P4 0.826 0.348 0.610
O1 0.101 0.202 0.703
O2 0.150 0.784 0.091
O3 0.161 0.596 0.538
O4 0.202 0.101 0.203
O5 0.216 0.850 0.409
O6 0.374 0.410 0.816
O7 0.404 0.839 0.962
O8 0.410 0.374 0.316
O9 0.590 0.626 0.684
O10 0.596 0.161 0.038
O11 0.626 0.590 0.184
O12 0.784 0.150 0.591
O13 0.798 0.899 0.797
O14 0.839 0.404 0.462
O15 0.850 0.216 0.909
O16 0.899 0.798 0.297

Calculated volume = 156.03 Å³/f.u.
Crystal system = monoclinic
Uncorrected energy = -8.49 eV/atom
Formation energy from raw total energies = -3121.1 kJ/mol of formula units
DOS(E_F) = 12.96 states/eV per cell